1.
# MnSe3 (PBE, optimized geometry)
# raw formation energy	21.7	kJ per mole of atoms
# crystal system	cubic
# volume	28.161	Å³/atom
# density of states at the Fermi level	4.14	states/eV/cell
# total magnetic moment	2.575	μB/cell
data_MnSe3
_chemical_formula_sum 'Mn1 Se3'
_space_group_name_H-M_alt 'P m -3 m'
_space_group_IT_number 221
_space_group_name_Hall '-P 4 2 3'
_cell_length_a 4.829
_cell_length_b 4.829
_cell_length_c 4.829
_cell_angle_alpha 90.00
_cell_angle_beta 90.00
_cell_angle_gamma 90.00
loop_
_atom_site_label
_atom_site_type_symbol
_atom_site_fract_x
_atom_site_fract_y
_atom_site_fract_z
_atom_site_occupancy
Mn1 Mn 0.000 0.000 0.000 1
Se1 Se 0.000 0.000 0.500 1

=====

2.
# In2AgSe (PBE, optimized geometry)
# raw formation energy	-17.1	kJ per mole of atoms
# crystal system	monoclinic
# volume	24.319	Å³/atom
# density of states at the Fermi level	2.25	states/eV/cell
# total magnetic moment	0.000	μB/cell
data_In2AgSe
_chemical_formula_sum 'In4 Ag2 Se2'
_space_group_name_H-M_alt 'C 1 2/m 1'
_space_group_IT_number 12
_cell_length_a 6.637
_cell_length_b 3.843
_cell_length_c 7.933
_cell_angle_alpha 90.00
_cell_angle_beta 105.95
_cell_angle_gamma 90.00
loop_
_space_group_symop_operation_xyz
'x,y,z'
'-x,-y,-z'
'-x,y,-z'
'x,-y,z'
'x+1/2,y+1/2,z'
'-x+1/2,-y+1/2,-z'
'-x+1/2,y+1/2,-z'
'x+1/2,-y+1/2,z'
loop_
_atom_site_label
_atom_site_type_symbol
_atom_site_fract_x
_atom_site_fract_y
_atom_site_fract_z
_atom_site_occupancy
In1 In 0.249 0.000 0.248 1
Ag1 Ag 0.000 0.000 0.500 1
Se1 Se 0.000 0.500 0.000 1

=====

3.
# CaAc2Ga3Pd4 (PBE, optimized geometry)
# ΔH_f (0 K)	-0.762	eV per atom
# crystal system	tetragonal
# volume	22.343	Å³/atom
# density of states at the Fermi level	6.42	states/eV/cell
# total magnetic moment	0.000	μB/cell
data_CaAc2Ga3Pd4
_chemical_formula_sum 'Ca1 Ac2 Ga3 Pd4'
_space_group_name_H-M_alt 'P -4 m 2'
_space_group_IT_number 115
_cell_length_a 4.406
_cell_length_b 4.406
_cell_length_c 11.509
_cell_angle_alpha 90.00
_cell_angle_beta 90.00
_cell_angle_gamma 90.00
loop_
_space_group_symop_operation_xyz
'x,y,z'
'y,-x,-z'
'-x,-y,z'
'-y,x,-z'
'-x,y,z'
'-y,-x,-z'
'x,-y,z'
'y,x,-z'
loop_
_atom_site_label
_atom_site_type_symbol
_atom_site_fract_x
_atom_site_fract_y
_atom_site_fract_z
_atom_site_occupancy
Ca1 Ca 0.000 0.000 0.000 1
Ac1 Ac 0.000 0.500 0.729 1
Ga1 Ga 0.000 0.500 0.385 1
Ga2 Ga 0.500 0.500 0.000 1
Pd1 Pd 0.000 0.000 0.500 1
Pd2 Pd 0.000 0.500 0.159 1
Pd3 Pd 0.500 0.500 0.500 1

=====

Question: What is the total magnetic moment in the second record?
Answer: 0.000 μB/cell

=====

Question: Which value of density of states at the Fermi level does entry 1 give?
Answer: 4.14 states/eV/cell

=====

Question: What is the formula in the first record?
Answer: MnSe3